No. 1
First-principles (PBEsol) data for a geometry-optimized FeTeP2 structure, as listed in Alexandria via LeMat-Bulk. Values from VASP.

Structure (Quantum ESPRESSO input):
```
&SYSTEM
  ibrav = 0, nat = 4, ntyp = 3
/
ATOMIC_SPECIES
Fe 55.84 Fe.upf
Te 127.60 Te.upf
P 30.97 P.upf
ATOMIC_POSITIONS crystal
Fe 0.0000 0.0000 0.0000
Te 0.2500 0.7500 0.5000
P 0.5000 0.5000 0.0000
P 0.7500 0.2500 0.5000
CELL_PARAMETERS angstrom
-2.2226 2.2226 3.1547
2.2226 -2.2226 3.1547
2.2226 2.2226 -3.1547
```

Results
Formation energy (no corrections) (meV per atom): 620
Space group: I-4m2 (119)
ρ (Mg/m³): 6.537



No. 2
First-principles (PBEsol) data for a geometry-optimized RbOsPt2 structure, as listed in Alexandria via LeMat-Bulk. Values from VASP.

Structure (Quantum ESPRESSO input):
```
&SYSTEM
  ibrav = 0, nat = 4, ntyp = 3
/
ATOMIC_SPECIES
Rb 85.47 Rb.upf
Os 190.23 Os.upf
Pt 195.08 Pt.upf
ATOMIC_POSITIONS crystal
Rb 0.0000 0.0000 0.0000
Os 0.5000 0.5000 0.5000
Pt 0.2500 0.2500 0.2500
Pt 0.7500 0.7500 0.7500
CELL_PARAMETERS angstrom
0.0000 3.3073 3.3073
3.3073 0.0000 3.3073
3.3073 3.3073 0.0000
```

Results
Space group: Fm-3m (225)
ΔH_f (0 K) (meV/atom): 1388
ρ (Mg/m³): 15.281